Entry 1:
The following is a DFT calculation (GGA-PBE) of a relaxed SrAc4Bi5 crystal.

POSCAR file:
```
SrAc4Bi5
1.0
4.783 0.000 -0.923
-0.355 6.632 -1.841
0.016 0.012 12.939
Ac Bi Sr
4 5 1
Cartesian
3.555 5.317 5.569
2.653 3.971 0.892
0.889 1.326 4.606
1.791 2.673 9.283
1.599 5.967 8.288
2.845 0.676 1.887
-0.178 3.316 -0.920
0.712 4.643 3.690
3.732 2.000 6.485
0.000 0.000 0.000
```

Calculated total energy: -4.69 eV/atom
Calculated formation energy: -0.94 eV/atom

---

Entry 2:
The following is a DFT calculation (GGA-PBE) of a relaxed SrAc2Bi3 crystal.

POSCAR file:
```
SrAc2Bi3
1.0
-1.644 -4.245 2.084
4.694 1.537 0.819
-6.928 11.544 18.046
Sr Ac Bi
2 4 6
Cartesian
-1.732 2.886 4.512
-5.196 8.658 13.535
-1.474 6.366 11.803
-2.405 2.470 9.147
-3.756 10.169 17.748
-0.122 -1.333 3.202
0.283 3.439 7.227
0.000 0.000 0.000
-3.464 5.772 9.023
1.416 1.552 4.277
-4.161 5.397 13.722
-5.294 7.284 16.672
```

Calculated total energy: -4.49 eV/atom
Calculated formation energy: -0.90 eV/atom
Excess energy over the best structure of this formula in the dataset: 0.0 kJ/mol of atoms

---

Entry 3:
The following is a DFT calculation (GGA-PBE) of a relaxed SrAcBi2 crystal.

POSCAR file:
```
SrAcBi2
1.0
5.016 0.000 0.000
2.508 4.344 0.000
2.508 1.448 7.715
Ac Bi Sr
1 2 1
Cartesian
5.016 2.896 3.943
2.508 1.448 1.967
2.508 1.448 5.737
7.524 4.344 7.640
```

Calculated total energy: -4.12 eV/atom
Calculated formation energy: -0.74 eV/atom
Excess energy over the best structure of this formula in the dataset: 7.3 kJ/mol of atoms

---

Entry 4:
The following is a DFT calculation (GGA-PBE) of a relaxed SrAcBi4 crystal.

POSCAR file:
```
SrAcBi4
1.0
-6.635 0.538 0.923
-4.126 -4.706 -2.449
-3.162 -4.203 4.183
Ac Bi Sr
1 4 1
Cartesian
0.000 0.000 0.000
-6.640 -2.882 2.882
-5.387 -5.499 1.200
-7.121 -3.133 -0.428
-8.699 -5.230 1.660
-3.481 -2.093 0.664
```

Calculated total energy: -3.95 eV/atom
Calculated formation energy: -0.40 eV/atom

---

DOS at the Fermi energy: 6.1; 3.5; 4.6; 3.4 (states/eV per cell)
M_tot: 0.00; 0.00; 0.00; 0.00 (μB/f.u.)